[1]
# CdFe2OsPb

An optimized crystal structure of CdFe2OsPb (PBE, the Alexandria database).

Output
* ρ: 9.1 Mg/m³
* formation enthalpy at 0 K: 2574 meV per atom
* spin magnetization: 0.434 μB/atom

abc: 4.6879 5.1882 4.6879
angles: 90.00 90.00 90.00
Last column: nearest neighbours and their distance in Å.
Atoms (fractional coordinates):
Cd: 0.0000 0.5000 0.0000  2 Pb 2.59
Fe: 0.0000 0.0000 0.5000  2 Pb 2.34
Fe: 0.5000 0.0000 0.0000  2 Pb 2.34
Pb: 0.0000 0.0000 0.0000  4 Fe 2.34, 2 Cd 2.59
Os: 0.5000 0.5000 0.5000  4 Cd 3.31, 8 Fe 3.50

---

[2]
# CdFe2OsRh

An optimized crystal structure of CdFe2OsRh (PBE, the Alexandria database).

Output
* ρ: 8.6 Mg/m³
* formation enthalpy at 0 K: 1706 meV per atom
* spin magnetization: 1.800 μB/atom

abc: 4.5172 4.9034 4.5172
angles: 90.00 90.00 90.00
Last column: nearest neighbours and their distance in Å.
Atoms (fractional coordinates):
Fe: 0.5000 0.0000 0.0000  2 Rh 2.26
Fe: 0.0000 0.0000 0.5000  2 Rh 2.26
Rh: 0.0000 0.0000 0.0000  4 Fe 2.26, 2 Cd 2.45
Cd: 0.0000 0.5000 0.0000  2 Rh 2.45
Os: 0.5000 0.5000 0.5000  4 Cd 3.19, 8 Fe 3.33

---

[3]
# CdFeSn2Os

An optimized crystal structure of CdFeSn2Os (PBE, the Alexandria database).

Output
* ρ: 9.1 Mg/m³
* formation enthalpy at 0 K: 801 meV per atom
* spin magnetization: 0.000 μB/atom

abc: 4.8620 4.6023 4.8620
angles: 90.00 90.00 90.00
Last column: nearest neighbours and their distance in Å.
Atoms (fractional coordinates):
Cd: 0.5000 0.5000 0.5000  8 Sn 3.35, 4 Os 3.44
Sn: 0.5000 0.0000 0.0000  2 Fe 2.43
Os: 0.0000 0.5000 0.0000  2 Fe 2.30
Fe: 0.0000 0.0000 0.0000  2 Os 2.30, 4 Sn 2.43
Sn: 0.0000 0.0000 0.5000  2 Fe 2.43

---

[4]
# CdFeP2

An optimized crystal structure of CdFeP2 (PBE, the Alexandria database).

Output
* ρ: 5.2 Mg/m³
* formation enthalpy at 0 K: 64 meV per atom
* spin magnetization: 0.000 μB/atom

abc: 3.6220 3.8335 5.5925
angles: 70.16 90.00 90.00
Last column: nearest neighbours and their distance in Å.
Atoms (fractional coordinates):
Fe: 0.5000 0.7948 0.0353  4 P 2.10-2.17
P: 0.0000 0.9084 0.8085  2 Fe 2.17
P: 0.5000 0.2148 0.1969  2 Fe 2.10
Cd: 0.0000 0.5819 0.4593  4 P 2.65-2.97, 2 Fe 2.87